[1]
An optimized crystal structure of NaSnBi3, computed with PBE-GGA.

Output
- ΔE to the lowest computed polymorph: 0.646 eV per atom

abc: 5.5422 5.5422 5.5422
angles: 90.00 90.00 90.00
Space group Pm-3m (No. 221)
Asymmetric unit:
Na 0.0000 0.0000 0.0000 x1
Sn 0.5000 0.5000 0.5000 x1
Bi 0.0000 0.0000 0.5000 x3

***

[2]
An optimized crystal structure of AcTb2Au6, computed with PBE-GGA.

abc: 15.1453 7.7444 3.8446
angles: 90.00 104.65 90.00
Space group C2/m (No. 12)
Asymmetric unit:
Ac 0.0000 0.0000 0.0000 x2
Tb 0.1416 0.5000 0.1399 x4
Au 0.0000 0.3223 0.5000 x4
Au 0.1790 0.1928 0.6782 x8

***

[3]
An optimized crystal structure of Dy4Tl2CdAg, computed with PBE-GGA.

abc: 5.2939 5.2939 25.9332
angles: 90.00 90.00 120.00
Space group R-3m (No. 166, hexagonal axes)
Asymmetric unit:
Dy 0.0000 0.0000 0.1226 x6
Dy 0.0000 0.0000 0.3729 x6
Tl 0.0000 0.0000 0.2487 x6
Cd 0.0000 0.0000 0.5000 x3
Ag 0.0000 0.0000 0.0000 x3

***

Number 1: size of the total moment 0.00 μB/f.u., calculated volume 170.2 Å³ per cell, formation enthalpy at 0 K 3.04 eV per formula unit. Number 2: size of the total moment 0.00 μB/f.u., calculated volume 436.3 Å³ per cell, formation enthalpy at 0 K -6.81 eV per formula unit. Number 3: size of the total moment 0.75 μB/f.u., calculated volume 629.4 Å³ per cell, formation enthalpy at 0 K -2.69 eV per formula unit.